Density functional theory data (PBE-GGA) for an optimized crystal structure of PrGdHgRu.

Unit cell a=5.156 b=5.156 c=5.156 alpha=60.00 beta=60.00 gamma=60.00
Fractional positions:
Pr 0.000 0.000 0.000
Gd 0.500 0.500 0.500
Hg 0.250 0.250 0.250
Ru 0.750 0.750 0.750

Calculated values
- Total magnetization: 1.766 μB/atom
- Formation energy: -0.261 eV/atom

Density functional theory data (PBE-GGA) for an optimized crystal structure of PrGdHgSb.

Unit cell a=5.421 b=5.421 c=5.421 alpha=60.00 beta=60.00 gamma=60.00
Fractional positions:
Pr 0.000 0.000 0.000
Gd 0.500 0.500 0.500
Hg 0.250 0.250 0.250
Sb 0.750 0.750 0.750

Calculated values
- Formation energy without anion corrections: -0.67 eV per atom
- Total magnetization: 1.925 μB/atom

Density functional theory data (PBE-GGA) for an optimized crystal structure of PrGdScHg.

Unit cell a=5.413 b=5.413 c=5.413 alpha=60.00 beta=60.00 gamma=60.00
Fractional positions:
Pr 0.000 0.000 0.000
Gd 0.500 0.500 0.500
Sc 0.750 0.750 0.750
Hg 0.250 0.250 0.250

Calculated values
- Total magnetization: 2.008 μB/atom
- Formation energy: -0.095 eV/atom

Copy entry 2 word for word.
Density functional theory data (PBE-GGA) for an optimized crystal structure of PrGdHgSb.

Unit cell a=5.421 b=5.421 c=5.421 alpha=60.00 beta=60.00 gamma=60.00
Fractional positions:
Pr 0.000 0.000 0.000
Gd 0.500 0.500 0.500
Hg 0.250 0.250 0.250
Sb 0.750 0.750 0.750

Calculated values
- Formation energy without anion corrections: -0.67 eV per atom
- Total magnetization: 1.925 μB/atom